# NaCrF2 GGA+U optimized geometry
# Final energy, eV per atom: -4.9148
# Density of states at the Fermi level, states/eV per cell: 0.7
# Symmetry: Fm-3m, No. 225
data_NaCrF2
_cell_length_a 4.1643
_cell_length_b 4.1643
_cell_length_c 4.1643
_cell_angle_alpha 60.00
_cell_angle_beta 60.00
_cell_angle_gamma 60.00
_symmetry_space_group_name_H-M 'P 1'
_symmetry_Int_Tables_number 1
loop_
_symmetry_equiv_pos_as_xyz
'x,y,z'
loop_
_atom_site_label
_atom_site_type_symbol
_atom_site_fract_x
_atom_site_fract_y
_atom_site_fract_z
_atom_site_occupancy
Cr1 Cr 0.5000 0.5000 0.5000 1
F1 F 0.2500 0.2500 0.2500 1
F2 F 0.7500 0.7500 0.7500 1
Na1 Na 0.0000 0.0000 0.0000 1